[1]
RbS2NCl | PBE | relaxed

```
data_RbS2NCl
_chemical_formula_sum 'Rb1 S2 N1 Cl1'
_cell_length_a 4.087
_cell_length_b 4.087
_cell_length_c 8.360
_cell_angle_alpha 90.00
_cell_angle_beta 90.00
_cell_angle_gamma 90.00
_space_group_name_H-M_alt 'P 4/m m m'
_space_group_IT_number 123
_space_group_name_Hall '-P 4 2'
loop_
_atom_site_label
_atom_site_type_symbol
_atom_site_fract_x
_atom_site_fract_y
_atom_site_fract_z
_atom_site_occupancy
Rb1 Rb 0.000 0.000 0.000 1
S1 S 0.000 0.500 0.500 1
N1 N 0.500 0.500 0.500 1
Cl1 Cl 0.500 0.500 0.000 1
```

Calculated values
magnetization: 0.00 μB/cell
formation energy (no corrections): 0.3532 eV/atom
theoretical density: 2.37 g/cm³
uncorrected energy: -3.526 eV/atom
offset from the most stable computed form: 0 meV/atom


[2]
Li2NiOs | PBE | relaxed

```
data_Li2NiOs
_chemical_formula_sum 'Li2 Ni1 Os1'
_cell_length_a 2.526
_cell_length_b 4.021
_cell_length_c 5.177
_cell_angle_alpha 90.00
_cell_angle_beta 90.00
_cell_angle_gamma 90.00
_space_group_name_H-M_alt 'P m m 2'
_space_group_IT_number 25
loop_
_space_group_symop_operation_xyz
'x,y,z'
'-x,-y,z'
'-x,y,z'
'x,-y,z'
loop_
_atom_site_label
_atom_site_type_symbol
_atom_site_fract_x
_atom_site_fract_y
_atom_site_fract_z
_atom_site_occupancy
Li1 Li 0.000 0.000 0.000 1
Li2 Li 0.500 0.500 0.218 1
Ni1 Ni 0.000 0.000 0.532 1
Os1 Os 0.500 0.500 0.700 1
```

Calculated values
magnetization: 0.00 μB/cell
theoretical density: 8.30 g/cm³
uncorrected energy: -5.094 eV/atom
offset from the most stable computed form: 67 meV/atom
energy of formation: 0.464 eV per formula unit


[3]
Ce7Pu2Hg2 | PBE | relaxed

```
data_Ce7Pu2Hg2
_chemical_formula_sum 'Ce14 Pu4 Hg4'
_cell_length_a 7.619
_cell_length_b 11.514
_cell_length_c 6.915
_cell_angle_alpha 90.00
_cell_angle_beta 90.00
_cell_angle_gamma 90.00
_space_group_name_H-M_alt 'C m m m'
_space_group_IT_number 65
_space_group_name_Hall '-C 2 2'
loop_
_atom_site_label
_atom_site_type_symbol
_atom_site_fract_x
_atom_site_fract_y
_atom_site_fract_z
_atom_site_occupancy
Ce1 Ce 0.000 0.000 0.000 1
Ce2 Ce 0.000 0.500 0.221 1
Ce3 Ce 0.250 0.250 0.229 1
Pu1 Pu 0.000 0.316 0.000 1
Hg1 Hg 0.179 0.000 0.500 1
```

Calculated values
magnetization: 15.91 μB/cell
theoretical density: 10.24 g/cm³
uncorrected energy: -6.397 eV/atom
energy of formation: 0.443 eV per formula unit


[4]
MgAl2Pb | PBE | relaxed

```
data_MgAl2Pb
_chemical_formula_sum 'Mg1 Al2 Pb1'
_cell_length_a 3.245
_cell_length_b 4.001
_cell_length_c 6.849
_cell_angle_alpha 90.00
_cell_angle_beta 92.87
_cell_angle_gamma 90.00
_space_group_name_H-M_alt 'P 1 m 1'
_space_group_IT_number 6
loop_
_space_group_symop_operation_xyz
'x,y,z'
'x,-y,z'
loop_
_atom_site_label
_atom_site_type_symbol
_atom_site_fract_x
_atom_site_fract_y
_atom_site_fract_z
_atom_site_occupancy
Mg1 Mg 0.000 0.000 0.000 1
Al1 Al 0.493 0.500 0.757 1
Al2 Al 0.982 0.000 0.580 1
Pb1 Pb 0.510 0.500 0.292 1
```

Calculated values
magnetization: 0.00 μB/cell
theoretical density: 5.34 g/cm³
uncorrected energy: -3.081 eV/atom
energy of formation: 0.462 eV per formula unit


[5]
AlRuPb | PBE | relaxed

```
data_AlRuPb
_chemical_formula_sum 'Al2 Ru2 Pb2'
_cell_length_a 3.173
_cell_length_b 3.173
_cell_length_c 12.163
_cell_angle_alpha 90.00
_cell_angle_beta 90.00
_cell_angle_gamma 90.00
_space_group_name_H-M_alt 'I 4 m m'
_space_group_IT_number 107
_space_group_name_Hall 'I 4 -2'
loop_
_atom_site_label
_atom_site_type_symbol
_atom_site_fract_x
_atom_site_fract_y
_atom_site_fract_z
_atom_site_occupancy
Al1 Al 0.000 0.000 0.000 1
Ru1 Ru 0.000 0.000 0.592 1
Pb1 Pb 0.000 0.000 0.257 1
```

Calculated values
magnetization: 0.00 μB/cell
theoretical density: 9.09 g/cm³
uncorrected energy: -5.545 eV/atom
energy of formation: 0.092 eV per formula unit


[6]
In2NiAg | PBE | relaxed

```
data_In2NiAg
_chemical_formula_sum 'In2 Ni1 Ag1'
_cell_length_a 3.137
_cell_length_b 3.137
_cell_length_c 7.430
_cell_angle_alpha 90.00
_cell_angle_beta 90.00
_cell_angle_gamma 90.00
_space_group_name_H-M_alt 'P 4/m m m'
_space_group_IT_number 123
_space_group_name_Hall '-P 4 2'
loop_
_atom_site_label
_atom_site_type_symbol
_atom_site_fract_x
_atom_site_fract_y
_atom_site_fract_z
_atom_site_occupancy
In1 In 0.000 0.000 0.216 1
Ni1 Ni 0.500 0.500 0.000 1
Ag1 Ag 0.500 0.500 0.500 1
```

Calculated values
magnetization: 0.00 μB/cell
theoretical density: 9.00 g/cm³
uncorrected energy: -3.532 eV/atom
offset from the most stable computed form: 28 meV/atom
energy of formation: -0.020 eV per formula unit


[7]
MnSnAu | PBE | relaxed

```
data_MnSnAu
_chemical_formula_sum 'Mn1 Sn1 Au1'
_cell_length_a 4.5737
_cell_length_b 4.5737
_cell_length_c 3.3214
_cell_angle_alpha 90.00
_cell_angle_beta 90.00
_cell_angle_gamma 120.00
_space_group_name_H-M_alt 'P -6 m 2'
_space_group_IT_number 187
_space_group_name_Hall 'P -6 2'
loop_
_atom_site_label
_atom_site_type_symbol
_atom_site_fract_x
_atom_site_fract_y
_atom_site_fract_z
_atom_site_occupancy
Mn1 Mn 0.0000 0.0000 0.0000 1
Sn1 Sn 0.3333 0.6667 0.5000 1
Au1 Au 0.6667 0.3333 0.0000 1
```

Calculated values
magnetization: 3.81 μB/cell
theoretical density: 10.23 g/cm³
uncorrected energy: -5.311 eV/atom
energy of formation: 0.517 eV per formula unit


[8]
CaIn2As2 | PBE | relaxed

```
data_CaIn2As2
_chemical_formula_sum 'Ca2 In4 As4'
_cell_length_a 5.258
_cell_length_b 5.258
_cell_length_c 9.513
_cell_angle_alpha 90.00
_cell_angle_beta 90.00
_cell_angle_gamma 90.00
_space_group_name_H-M_alt 'I 4/m m m'
_space_group_IT_number 139
_space_group_name_Hall '-I 4 2'
loop_
_atom_site_label
_atom_site_type_symbol
_atom_site_fract_x
_atom_site_fract_y
_atom_site_fract_z
_atom_site_occupancy
Ca1 Ca 0.000 0.000 0.000 1
In1 In 0.000 0.000 0.353 1
As1 As 0.000 0.500 0.250 1
```

Calculated values
magnetization: 0.00 μB/cell
theoretical density: 5.30 g/cm³
uncorrected energy: -3.667 eV/atom
energy of formation: -1.560 eV per formula unit


[9]
UGaPd6 | PBE | relaxed

```
data_UGaPd6
_chemical_formula_sum 'U1 Ga1 Pd6'
_cell_length_a 4.060
_cell_length_b 4.060
_cell_length_c 7.956
_cell_angle_alpha 90.00
_cell_angle_beta 90.00
_cell_angle_gamma 90.00
_space_group_name_H-M_alt 'P 4/m m m'
_space_group_IT_number 123
_space_group_name_Hall '-P 4 2'
loop_
_atom_site_label
_atom_site_type_symbol
_atom_site_fract_x
_atom_site_fract_y
_atom_site_fract_z
_atom_site_occupancy
U1 U 0.000 0.000 0.000 1
Ga1 Ga 0.000 0.000 0.500 1
Pd1 Pd 0.000 0.500 0.257 1
Pd2 Pd 0.500 0.500 0.000 1
Pd3 Pd 0.500 0.500 0.500 1
```

Calculated values
magnetization: 1.29 μB/cell
theoretical density: 11.98 g/cm³
uncorrected energy: -6.209 eV/atom
offset from the most stable computed form: 0 meV/atom
energy of formation: -4.201 eV per formula unit


[10]
DyHoEr2Sb4 | PBE | relaxed

```
data_DyHoEr2Sb4
_chemical_formula_sum 'Dy1 Ho1 Er2 Sb4'
_cell_length_a 7.557
_cell_length_b 4.366
_cell_length_c 7.557
_cell_angle_alpha 90.00
_cell_angle_beta 109.47
_cell_angle_gamma 90.00
_space_group_name_H-M_alt 'P 1 2/m 1'
_space_group_IT_number 10
loop_
_space_group_symop_operation_xyz
'x,y,z'
'-x,-y,-z'
'-x,y,-z'
'x,-y,z'
loop_
_atom_site_label
_atom_site_type_symbol
_atom_site_fract_x
_atom_site_fract_y
_atom_site_fract_z
_atom_site_occupancy
Dy1 Dy 0.000 0.000 0.000 1
Ho1 Ho 0.000 0.500 0.500 1
Er1 Er 0.500 0.000 0.500 1
Er2 Er 0.500 0.500 0.000 1
Sb1 Sb 0.252 0.000 0.750 1
Sb2 Sb 0.252 0.500 0.251 1
```

Calculated values
magnetization: 0.00 μB/cell
formation energy (no corrections): -1.1084 eV/atom
theoretical density: 8.12 g/cm³
uncorrected energy: -5.458 eV/atom